(1)
Material: Pa3SbSe8
Method: DFT, PBE
State: optimized geometry

Results
The value obtained for the raw formation energy is -13.07 eV/f.u.

Cell lengths 8.4022, 8.4022, 13.0291 Å; angles 90.00, 90.00, 120.00 degrees
Last column: nearest neighbours and their distance in Å.
Space group P6_3mc (No. 186)
Asymmetric unit:
Pa (0.1659, 0.3318, 0.0000)  6 Se 2.78-2.89
Sb (0.3333, 0.6667, 0.2457)  3 Se 2.73
Se (0.0000, 0.0000, 0.1169)  3 Pa 2.85
Se (0.0227, 0.5113, 0.1285)  1 Sb 2.73, 2 Pa 2.89
Se (0.1641, 0.3282, 0.3926)  2 Pa 2.78
Se (0.3333, 0.6667, 0.8857)  3 Pa 2.86



(2)
Material: Tm2PuUN4
Method: DFT, PBE
State: optimized geometry

Results
The value obtained for the raw formation energy is -12.32 eV/f.u.

Cell lengths 5.9314, 3.4312, 5.9448 Å; angles 90.00, 109.28, 90.00 degrees
Last column: nearest neighbours and their distance in Å.
Space group P2/m (No. 10)
Asymmetric unit:
Tm (0.0000, 0.0000, 0.0000)  6 N 2.46-2.49
Tm (0.5000, 0.5000, 0.0000)  6 N 2.39-2.41
Pu (0.0000, 0.5000, 0.5000)  6 N 2.44-2.45
U (0.5000, 0.0000, 0.5000)  6 N 2.35-2.40
N (0.2592, 0.5000, 0.2524)  3 Tm 2.39-2.46, 2 U 2.40, 1 Pu 2.45
N (0.2599, 0.0000, 0.7460)  1 U 2.35, 3 Tm 2.41-2.49, 2 Pu 2.44



(3)
Material: Tb2Si2Pt5
Method: DFT, PBE
State: optimized geometry

Results
The value obtained for the raw formation energy is -9.99 eV/f.u.

Cell lengths 4.1922, 4.1922, 8.9730 Å; angles 90.00, 90.00, 90.00 degrees
Last column: nearest neighbours and their distance in Å.
Space group P4/mmm (No. 123)
Asymmetric unit:
Tb (0.0000, 0.0000, 0.0000)  8 Pt 3.17, 8 Si 3.19
Tb (0.0000, 0.0000, 0.5000)  12 Pt 2.96-2.97
Si (0.5000, 0.5000, 0.1314)  1 Si 2.36, 4 Pt 2.41
Pt (0.0000, 0.5000, 0.2650)  2 Si 2.41
Pt (0.5000, 0.5000, 0.5000)  4 Tb 2.96, 8 Pt 2.97, 2 Si 3.31



(4)
Material: TmAl2Pd7
Method: DFT, PBE
State: optimized geometry

Results
The formation enthalpy at 0 K is -0.37 eV per atom. For the offset from the most stable computed form, the calculation gives 0.4025 eV per atom.

Cell lengths 7.3264, 12.0275, 4.4898 Å; angles 90.00, 90.00, 90.00 degrees
Last column: nearest neighbours and their distance in Å.
Space group Cmmm (No. 65)
Asymmetric unit:
Tm (0.0000, 0.0000, 0.0000)  10 Pd 2.74-3.01
Al (0.0000, 0.3000, 0.5000)  7 Pd 2.40-2.56
Pd (0.0000, 0.2276, 0.0000)  2 Al 2.41
Pd (0.0000, 0.5000, 0.5000)  2 Al 2.40
Pd (0.1887, 0.1213, 0.5000)  2 Al 2.47-2.56, 2 Pd 2.71-2.76